(1)
Ba4Zn3Ag, relaxed, DFT PBE; calculated density = 4.86 Mg/m³; formation energy = -0.19 eV/atom; spin magnetization = 0.0 Bohr magnetons per cell; space-group type = Pmm2, No. 25
1.0
4.844 0.000 0.000
0.000 4.896 0.000
0.000 0.000 12.288
Zn Ba Ag
3 4 1
direct
0.500 0.000 0.942
0.000 0.000 0.444
0.000 0.500 0.555
0.000 0.500 0.857
0.000 0.000 0.144
0.500 0.000 0.642
0.500 0.500 0.359
0.500 0.500 0.057

=====

(2)
BaZnAg2, relaxed, DFT PBE; calculated density = 6.28 Mg/m³; formation energy = 0.08 eV/atom; spin magnetization = 0.0 Bohr magnetons per cell; space-group type = Cmmm, No. 65
1.0
-3.489 -7.375 -1.538
0.760 1.919 4.414
-4.337 -1.155 1.244
Zn Ag Ba
1 2 1
direct
0.500 0.500 0.000
0.000 0.000 0.000
0.500 0.000 0.500
0.000 0.500 0.500

=====

(3)
Ba3Zn8Ag3, relaxed, DFT PBE; calculated density = 6.43 Mg/m³; formation energy = -0.16 eV/atom; spin magnetization = 0.0 Bohr magnetons per cell; space-group type = Immm, No. 71
1.0
-2.201 2.136 -3.458
-7.846 -4.214 -0.698
-6.591 4.573 3.932
Ba Zn Ag
3 8 3
direct
0.801 0.199 0.199
0.500 0.500 0.500
0.199 0.801 0.801
0.830 0.823 0.517
0.170 0.483 0.177
0.830 0.517 0.823
0.374 0.341 0.911
0.374 0.911 0.341
0.626 0.659 0.089
0.626 0.089 0.659
0.170 0.177 0.483
0.500 0.000 0.000
0.000 0.788 0.212
0.000 0.212 0.788

=====

(4)
BaZn2Ag9, relaxed, DFT PBE; calculated density = 8.73 Mg/m³; formation energy = 0.01 eV/atom; spin magnetization = 0.0 Bohr magnetons per cell; space-group type = P6/mmm, No. 191; polymorph energy (0 for the lowest one) = 0.109 eV per atom
1.0
3.161 0.000 0.000
0.000 9.278 0.000
0.000 -4.639 8.035
Ag Ba Zn
9 1 2
direct
0.500 0.191 0.381
0.000 0.000 0.500
0.500 0.809 0.191
0.000 0.500 0.000
0.500 0.619 0.809
0.000 0.500 0.500
0.500 0.809 0.619
0.500 0.381 0.191
0.500 0.191 0.809
0.000 0.000 0.000
0.000 0.667 0.333
0.000 0.333 0.667

=====

(5)
BaZn2Ag, relaxed, DFT PBE; calculated density = 5.91 Mg/m³; formation energy = -0.20 eV/atom; spin magnetization = 0.0 Bohr magnetons per cell; space-group type = Cm, No. 8
1.0
4.571 -0.004 0.010
2.296 3.952 0.010
2.259 1.299 5.851
Zn Ag Ba
2 1 1
direct
0.056 0.056 0.831
0.748 0.748 0.755
0.445 0.445 0.666
0.251 0.251 0.248

=====

(6)
Ba3Zn2Ag3, relaxed, DFT PBE; calculated density = 5.70 Mg/m³; formation energy = -0.25 eV/atom; spin magnetization = 0.0 Bohr magnetons per cell; space-group type = Cmcm, No. 63
1.0
-0.903 4.573 1.033
-5.328 -2.980 -2.501
-4.893 -4.542 15.833
Ag Zn Ba
6 4 6
direct
0.710 0.420 0.750
0.290 0.580 0.250
0.594 0.188 0.051
0.594 0.188 0.449
0.406 0.812 0.949
0.406 0.812 0.551
0.169 0.337 0.390
0.831 0.663 0.890
0.831 0.663 0.610
0.169 0.337 0.110
0.877 0.754 0.405
0.123 0.246 0.595
0.123 0.246 0.905
0.877 0.754 0.095
0.591 0.182 0.250
0.409 0.818 0.750

=====

(7)
BaZn12Ag6, relaxed, DFT PBE; calculated density = 7.26 Mg/m³; formation energy = -0.04 eV/atom; spin magnetization = 0.0 Bohr magnetons per cell; space-group type = R-3m, No. 166
1.0
-2.464 -6.510 -2.429
0.649 -0.968 7.280
-5.837 4.453 -0.671
Ag Zn Ba
6 12 1
direct
0.283 0.694 0.283
0.717 0.717 0.306
0.283 0.283 0.694
0.717 0.306 0.717
0.306 0.717 0.717
0.694 0.283 0.283
0.605 0.605 0.888
0.110 0.890 0.500
0.890 0.110 0.500
0.395 0.395 0.112
0.112 0.395 0.395
0.110 0.500 0.890
0.500 0.110 0.890
0.500 0.890 0.110
0.605 0.888 0.605
0.890 0.500 0.110
0.395 0.112 0.395
0.888 0.605 0.605
0.000 0.000 0.000

=====

(8)
Ba12ZnAg6, relaxed, DFT PBE; calculated density = 4.72 Mg/m³; formation energy = -0.14 eV/atom; spin magnetization = 2.0 Bohr magnetons per cell; space-group type = Im-3, No. 204; polymorph energy (0 for the lowest one) = 0.000 eV per atom
1.0
9.673 0.000 -3.420
-4.836 8.377 -3.420
0.000 0.000 10.260
Ba Ag Zn
12 6 1
direct
0.115 0.817 0.298
0.183 0.298 0.482
0.817 0.702 0.518
0.885 0.183 0.702
0.298 0.115 0.817
0.482 0.183 0.298
0.702 0.518 0.817
0.518 0.817 0.702
0.298 0.482 0.183
0.183 0.702 0.885
0.702 0.885 0.183
0.817 0.298 0.115
0.379 0.500 0.879
0.121 0.621 0.500
0.879 0.379 0.500
0.500 0.879 0.379
0.621 0.500 0.121
0.500 0.121 0.621
0.000 0.000 0.000

=====

(9)
BaZrAg, relaxed, DFT PBE; calculated density = 6.15 Mg/m³; formation energy = 0.26 eV/atom; spin magnetization = 0.5 Bohr magnetons per cell; space-group type = I4mm, No. 107; polymorph energy (0 for the lowest one) = 0.000 eV per atom
1.0
7.201 -0.006 0.006
6.265 3.551 -0.001
0.936 0.253 3.547
Zr Ba Ag
1 1 1
direct
0.627 0.627 0.373
0.342 0.342 0.658
0.032 0.032 0.968

=====

(10)
BaZr3Ag, relaxed, DFT PBE; calculated density = 5.84 Mg/m³; formation energy = 1.82 eV/atom; spin magnetization = 0.0 Bohr magnetons per cell; space-group type = Pm-3m, No. 221; polymorph energy (0 for the lowest one) = 0.995 eV per atom
1.0
-3.263 2.541 -3.291
-0.208 -4.278 -3.097
-4.152 -1.783 2.741
Ag Ba Zr
1 1 3
direct
0.500 0.500 0.500
0.000 0.000 0.000
0.500 0.000 0.000
0.000 0.500 0.000
0.000 0.000 0.500